The following is a GGA-PBEsol calculation of a relaxed structure of TeMoP2Cl, from the Alexandria database.

Results
* ΔE_f (raw): 1.517 eV per atom
* space group: No. 123

Cell and atoms, written as extended XYZ:
```
5
Lattice="5.052 0.000 0.000 0.000 5.052 0.000 0.000 0.000 4.908" Properties=species:S:1:pos:R:3 pbc="T T T"
Te 0.000 0.000 0.000
Mo 2.526 2.526 2.454
P 0.000 2.526 0.000
P 2.526 0.000 0.000
Cl 0.000 0.000 2.454
```